[1]
The following is a PBE-GGA calculation of a geometry-optimized LiLaW structure, from the Alexandria database.

Computed properties:
As for the formation energy: 734 meV per atom. For the density of states at the Fermi level, the calculation gives 0.93 states/eV per atom. Its space-group type is Imm2. Its total energy is -17.59 eV/cell.

Cell: 5.4008 5.4008 5.4008 Å, 149.43 129.37 60.31°
Last column: nearest neighbours and their distance in Å.
Sites, in units of the cell vectors:
W (0.6775, 0.6775, 0.0000)  2 W 2.85, 4 Li 3.02, 5 La 3.04-3.16
La (0.0030, 0.0030, 0.0000)  2 La 2.85, 1 Li 2.96, 5 W 3.04-3.16
Li (0.3195, 0.3195, 0.0000)  2 Li 2.85, 1 La 2.96, 4 W 3.02

[2]
The following is a PBE-GGA calculation of a geometry-optimized Tb2HoH8 structure, from the Alexandria database.

Computed properties:
For the density of states at the Fermi level, the calculation gives 0.12 states/eV per atom. Its space-group type is Immm. Its total energy is -47.54 eV/cell.

Cell: 3.6537 5.1223 6.3205 Å, 113.90 106.80 90.00°
Last column: nearest neighbours and their distance in Å.
Sites, in units of the cell vectors:
Tb (0.1682, 0.6682, 0.3364)  8 H 2.20-2.30
Ho (0.5000, 0.0000, 0.0000)  8 H 2.19-2.28
Tb (0.8318, 0.3318, 0.6636)  8 H 2.20-2.30
H (0.3403, 0.5820, 0.6806)  1 Ho 2.19, 3 Tb 2.21-2.30, 3 H 2.26-2.33
H (0.8402, 0.8402, 0.6804)  8 H 2.22-2.33
H (0.3403, 0.0987, 0.6806)  1 Ho 2.19, 3 Tb 2.21-2.30, 3 H 2.26-2.33
H (0.0000, 0.7345, 0.0000)  2 Tb 2.20, 3 H 2.22-2.40, 2 Ho 2.28
H (0.1598, 0.1598, 0.3196)  8 H 2.22-2.33
H (0.6597, 0.4180, 0.3194)  1 Ho 2.19, 3 Tb 2.21-2.30, 3 H 2.26-2.33
H (0.0000, 0.2655, 0.0000)  2 Tb 2.20, 3 H 2.22-2.40, 2 Ho 2.28
H (0.6597, 0.9013, 0.3194)  1 Ho 2.19, 3 Tb 2.21-2.30, 3 H 2.26-2.33

[3]
The following is a PBE-GGA calculation of a geometry-optimized NiHgPd6 structure, from the Alexandria database.

Computed properties:
As for the formation energy: -26 meV per atom. For the density of states at the Fermi level, the calculation gives 1.70 states/eV per atom. Its space-group type is P4/mmm. Its total energy is -37.45 eV/cell.

Cell: 3.9700 3.9700 7.9179 Å, 90.00 90.00 90.00°
Last column: nearest neighbours and their distance in Å.
Sites, in units of the cell vectors:
Pd (0.5000, 0.0000, 0.7347)  2 Ni 2.72, 8 Pd 2.72-2.89, 2 Hg 2.89
Pd (0.0000, 0.5000, 0.7347)  2 Ni 2.72, 8 Pd 2.72-2.89, 2 Hg 2.89
Pd (0.0000, 0.5000, 0.2653)  2 Ni 2.72, 8 Pd 2.72-2.89, 2 Hg 2.89
Pd (0.5000, 0.0000, 0.2653)  2 Ni 2.72, 8 Pd 2.72-2.89, 2 Hg 2.89
Pd (0.5000, 0.5000, 0.0000)  4 Hg 2.81, 8 Pd 2.89
Ni (0.0000, 0.0000, 0.5000)  12 Pd 2.72-2.81
Pd (0.5000, 0.5000, 0.5000)  8 Pd 2.72, 4 Ni 2.81
Hg (0.0000, 0.0000, 0.0000)  12 Pd 2.81-2.89

[4]
The following is a PBE-GGA calculation of a geometry-optimized AlPtW2 structure, from the Alexandria database.

Computed properties:
As for the formation energy: -195 meV per atom. For the density of states at the Fermi level, the calculation gives 0.48 states/eV per atom. Its space-group type is P4mm. Its total energy is -36.47 eV/cell.

Cell: 3.2573 3.2573 5.9349 Å, 90.00 90.00 90.00°
Last column: nearest neighbours and their distance in Å.
Sites, in units of the cell vectors:
W (0.5000, 0.5000, 0.2433)  4 W 2.65, 4 Al 2.79, 1 Pt 2.87
Pt (0.5000, 0.5000, 0.7262)  4 Al 2.64, 5 W 2.87-2.90
W (0.0000, 0.0000, 0.0220)  4 W 2.65, 1 Al 2.89, 4 Pt 2.90
Al (0.0000, 0.0000, 0.5085)  4 Pt 2.64, 5 W 2.79-2.89

[5]
The following is a PBE-GGA calculation of a geometry-optimized RbMnCu2I6 structure, from the Alexandria database.

Computed properties:
The calculation puts the formation energy without anion corrections at -439 kJ/mol of formula units. For the density of states at the Fermi level, the calculation gives 0.64 states/eV per atom. Its space-group type is C2/c. Its total energy is -64.37 eV/cell.

Cell: 8.7372 10.4704 10.4704 Å, 82.60 70.65 70.65°
Last column: nearest neighbours and their distance in Å.
Sites, in units of the cell vectors:
I (0.6804, 0.8206, 0.9484)  1 Cu 2.66, 1 Mn 2.71
I (0.5256, 0.1459, 0.6040)  1 Mn 2.65, 1 Cu 2.72
I (0.3196, 0.1794, 0.0516)  1 Cu 2.66, 1 Mn 2.71
I (0.5868, 0.5838, 0.7109)  2 Cu 2.58-2.59
I (0.0256, 0.6040, 0.1459)  1 Mn 2.65, 1 Cu 2.72
Cu (0.6666, 0.2495, 0.3584)  4 I 2.58-2.72
Mn (0.2500, 0.1822, 0.8178)  4 I 2.65-2.71
I (0.9132, 0.2891, 0.4162)  2 Cu 2.58-2.59
Cu (0.3334, 0.7505, 0.6416)  4 I 2.58-2.72
Rb (0.7500, 0.1766, 0.8234)  6 I 3.58-3.96
Cu (0.1666, 0.3584, 0.2495)  4 I 2.58-2.72
Cu (0.8334, 0.6416, 0.7505)  4 I 2.58-2.72
I (0.0868, 0.7109, 0.5838)  2 Cu 2.58-2.59
I (0.4744, 0.8541, 0.3960)  1 Mn 2.65, 1 Cu 2.72
I (0.9744, 0.3960, 0.8541)  1 Mn 2.65, 1 Cu 2.72
I (0.8196, 0.0516, 0.1794)  1 Cu 2.66, 1 Mn 2.71
I (0.4132, 0.4162, 0.2891)  2 Cu 2.58-2.59
Rb (0.2500, 0.8234, 0.1766)  6 I 3.58-3.96
Mn (0.7500, 0.8178, 0.1822)  4 I 2.65-2.71
I (0.1804, 0.9484, 0.8206)  1 Cu 2.66, 1 Mn 2.71

[6]
The following is a PBE-GGA calculation of a geometry-optimized Ac2In4NiAu3 structure, from the Alexandria database.

Computed properties:
As for the formation energy: -501 meV per atom. For the density of states at the Fermi level, the calculation gives 0.46 states/eV per atom. Its space-group type is P-4m2. Its total energy is -39.80 eV/cell.

Cell: 4.7092 4.7092 11.2848 Å, 90.00 90.00 90.00°
Last column: nearest neighbours and their distance in Å.
Sites, in units of the cell vectors:
In (0.5000, 0.0000, 0.6155)  2 Ni 2.69, 3 Au 2.69-2.73
Au (0.0000, 0.0000, 0.5000)  4 In 2.69
Au (0.5000, 0.0000, 0.8574)  5 In 2.73-2.85
In (0.0000, 0.5000, 0.3845)  2 Ni 2.69, 3 Au 2.69-2.73
Ac (0.0000, 0.5000, 0.7349)  2 Ni 3.55, 6 Au 3.55-3.61, 9 In 3.59-3.95
In (0.5000, 0.5000, 0.0000)  4 Au 2.85
In (0.0000, 0.0000, 0.0000)  4 Au 2.85
Au (0.0000, 0.5000, 0.1426)  5 In 2.73-2.85
Ac (0.5000, 0.0000, 0.2651)  2 Ni 3.55, 6 Au 3.55-3.61, 9 In 3.59-3.95
Ni (0.5000, 0.5000, 0.5000)  4 In 2.69